A plane-wave DFT calculation with PBEsol was carried out for a relaxed CaLa2Ni crystal.

Unit cell a=3.475 b=5.723 c=6.178 alpha=115.11 beta=102.56 gamma=97.92
Sites, in units of the cell vectors:
Ca  0.500  0.000  0.000
La  0.500  0.500  0.500
La  0.000  0.000  0.500
Ni  0.000  0.500  0.000

Total magnetization   0.000 μB per cell
VASP energy   -4.403 eV/atom
Space-group type   No. 12
ΔE to the lowest computed polymorph   416 meV/atom

A plane-wave DFT calculation with PBEsol was carried out for a relaxed CaLa2Ni2 crystal.

Unit cell a=3.936 b=7.743 c=7.743 alpha=90.00 beta=90.00 gamma=90.00
Sites, in units of the cell vectors:
Ca  0.000  0.500  0.500
Ca  0.000  0.000  0.000
La  0.500  0.660  0.840
La  0.500  0.160  0.660
La  0.500  0.840  0.340
La  0.500  0.340  0.160
Ni  0.000  0.380  0.880
Ni  0.000  0.880  0.620
Ni  0.000  0.620  0.120
Ni  0.000  0.120  0.380

Total magnetization   0.000 μB per cell
VASP energy   -5.203 eV/atom
Space-group type   No. 127
ΔE to the lowest computed polymorph   0 meV/atom